Ca2Pr2MnNiO8: relaxed, PBE with a Hubbard U.

## Properties
Total energy, eV/cell: -196.83
Calculated volume, Å³/cell: 360.5
M_tot, μB per atom: 0.3571

abc: 12.0242 5.3788 5.5739
angles: 90.00 90.39 90.00
Space group Cm (No. 8)
Asymmetric unit:
Ca 0.0000 0.0000 0.0000 x2
Ca 0.2110 0.0000 0.5121 x2
Pr 0.2176 0.5000 0.0448 x2
Pr 0.4939 0.0000 0.5371 x2
Mn 0.3546 0.0000 0.0252 x2
Ni 0.3570 0.5000 0.5260 x2
O 0.0227 0.5000 0.9759 x2
O 0.0288 0.0000 0.5843 x2
O 0.1813 0.5000 0.4682 x2
O 0.1920 0.0000 0.0786 x2
O 0.3385 0.2437 0.7818 x4
O 0.3730 0.2487 0.2624 x4